[1]
Computed, not measured: Sr2LiH after structural relaxation at the PBE level of DFT.

The structure in CIF format:
```
data_Sr2LiH
_chemical_formula_sum 'Sr4 Li2 H2'
_space_group_name_H-M_alt 'P 1'
_space_group_IT_number 1
_space_group_name_Hall 'P 1'
_cell_length_a 4.464
_cell_length_b 7.950
_cell_length_c 8.584
_cell_angle_alpha 117.42
_cell_angle_beta 105.09
_cell_angle_gamma 90.00
loop_
_atom_site_label
_atom_site_fract_x
_atom_site_fract_y
_atom_site_fract_z
Sr1 0.331 0.047 0.236
Sr2 0.635 0.084 0.844
Sr3 0.026 0.475 0.627
Sr4 0.330 0.512 0.235
Li1 0.720 0.670 0.015
Li2 0.941 0.889 0.456
H1 0.444 0.393 0.462
H2 0.217 0.167 0.009
```

Summary:
Calculated total energy ... -18.5 eV per cell
Excess energy over the best structure of this formula in the dataset ... 0.000 eV/atom

[2]
Computed, not measured: Pr5Dy4Cd2 after structural relaxation at the PBE level of DFT.

The structure in CIF format:
```
data_Pr5Dy4Cd2
_chemical_formula_sum 'Pr5 Dy4 Cd2'
_space_group_name_H-M_alt 'P 1'
_space_group_IT_number 1
_space_group_name_Hall 'P 1'
_cell_length_a 3.644
_cell_length_b 9.135
_cell_length_c 10.803
_cell_angle_alpha 92.52
_cell_angle_beta 90.00
_cell_angle_gamma 90.00
loop_
_atom_site_label
_atom_site_fract_x
_atom_site_fract_y
_atom_site_fract_z
Dy1 0.500 0.194 0.845
Dy2 0.500 0.806 0.155
Dy3 0.500 0.224 0.421
Dy4 0.500 0.776 0.579
Pr1 0.000 0.146 0.124
Pr2 0.000 0.500 0.000
Pr3 0.000 0.553 0.343
Pr4 0.000 0.447 0.657
Pr5 0.000 0.854 0.876
Cd1 0.000 0.072 0.626
Cd2 0.000 0.928 0.374
```

Summary:
Calculated total energy ... -44.3 eV per cell

[3]
Computed, not measured: Co2MoAs after structural relaxation at the PBE level of DFT.

The structure in CIF format:
```
data_Co2MoAs
_chemical_formula_sum 'Co2 Mo1 As1'
_space_group_name_H-M_alt 'P 1'
_space_group_IT_number 1
_space_group_name_Hall 'P 1'
_cell_length_a 4.565
_cell_length_b 4.565
_cell_length_c 4.565
_cell_angle_alpha 132.46
_cell_angle_beta 132.46
_cell_angle_gamma 69.51
loop_
_atom_site_label
_atom_site_fract_x
_atom_site_fract_y
_atom_site_fract_z
As1 0.750 0.250 0.500
Co1 0.250 0.750 0.500
Co2 0.000 0.000 0.000
Mo1 0.500 0.500 0.000
```

Summary:
Calculated total energy ... -29.4 eV per cell

[4]
Computed, not measured: MnPPt after structural relaxation at the PBE level of DFT.

The structure in CIF format:
```
data_MnPPt
_chemical_formula_sum 'Mn1 P1 Pt1'
_space_group_name_H-M_alt 'P 1'
_space_group_IT_number 1
_space_group_name_Hall 'P 1'
_cell_length_a 5.165
_cell_length_b 5.165
_cell_length_c 5.165
_cell_angle_alpha 147.33
_cell_angle_beta 147.33
_cell_angle_gamma 46.88
loop_
_atom_site_label
_atom_site_fract_x
_atom_site_fract_y
_atom_site_fract_z
Pt1 0.671 0.671 0.000
P1 0.358 0.358 0.000
Mn1 0.970 0.970 0.000
```

Summary:
Calculated total energy ... -21.1 eV per cell

[5]
Computed, not measured: CdHg4Mo after structural relaxation at the PBE level of DFT.

The structure in CIF format:
```
data_CdHg4Mo
_chemical_formula_sum 'Cd1 Hg4 Mo1'
_space_group_name_H-M_alt 'P 1'
_space_group_IT_number 1
_space_group_name_Hall 'P 1'
_cell_length_a 5.840
_cell_length_b 5.840
_cell_length_c 5.840
_cell_angle_alpha 60.00
_cell_angle_beta 60.00
_cell_angle_gamma 60.00
loop_
_atom_site_label
_atom_site_fract_x
_atom_site_fract_y
_atom_site_fract_z
Hg1 0.375 0.874 0.375
Hg2 0.874 0.375 0.375
Hg3 0.375 0.375 0.375
Hg4 0.375 0.375 0.874
Cd1 0.000 0.000 0.000
Mo1 0.750 0.750 0.750
```

Summary:
Calculated total energy ... -8.6 eV per cell

[6]
Computed, not measured: AlPt8Rh2 after structural relaxation at the PBE level of DFT.

The structure in CIF format:
```
data_AlPt8Rh2
_chemical_formula_sum 'Al1 Pt8 Rh2'
_space_group_name_H-M_alt 'P 1'
_space_group_IT_number 1
_space_group_name_Hall 'P 1'
_cell_length_a 3.877
_cell_length_b 7.779
_cell_length_c 7.247
_cell_angle_alpha 122.46
_cell_angle_beta 105.52
_cell_angle_gamma 90.00
loop_
_atom_site_label
_atom_site_fract_x
_atom_site_fract_y
_atom_site_fract_z
Pt1 0.157 0.157 0.315
Pt2 0.337 0.094 0.674
Pt3 0.337 0.580 0.674
Pt4 0.000 0.268 0.000
Pt5 0.663 0.420 0.326
Pt6 0.663 0.906 0.326
Pt7 0.843 0.843 0.685
Pt8 0.000 0.732 0.000
Rh1 0.165 0.665 0.329
Rh2 0.835 0.335 0.671
Al1 0.500 0.000 0.000
```

Summary:
Calculated total energy ... -68.7 eV per cell

[7]
Computed, not measured: HfPdW after structural relaxation at the PBE level of DFT.

The structure in CIF format:
```
data_HfPdW
_chemical_formula_sum 'Hf2 Pd2 W2'
_space_group_name_H-M_alt 'P 1'
_space_group_IT_number 1
_space_group_name_Hall 'P 1'
_cell_length_a 3.875
_cell_length_b 2.850
_cell_length_c 12.779
_cell_angle_alpha 90.00
_cell_angle_beta 90.00
_cell_angle_gamma 132.83
loop_
_atom_site_label
_atom_site_fract_x
_atom_site_fract_y
_atom_site_fract_z
W1 0.194 0.389 0.500
W2 0.694 0.389 0.000
Hf1 0.194 0.389 0.179
Hf2 0.194 0.389 0.821
Pd1 0.694 0.389 0.346
Pd2 0.694 0.389 0.654
```

Summary:
Calculated total energy ... -56.4 eV per cell

[8]
Computed, not measured: Sr2Sb2H4Pd after structural relaxation at the PBE level of DFT.

The structure in CIF format:
```
data_Sr2Sb2H4Pd
_chemical_formula_sum 'Sr2 Sb2 H4 Pd1'
_space_group_name_H-M_alt 'P 1'
_space_group_IT_number 1
_space_group_name_Hall 'P 1'
_cell_length_a 6.232
_cell_length_b 6.232
_cell_length_c 6.232
_cell_angle_alpha 94.27
_cell_angle_beta 117.57
_cell_angle_gamma 117.57
loop_
_atom_site_label
_atom_site_fract_x
_atom_site_fract_y
_atom_site_fract_z
H1 0.000 0.183 0.817
H2 0.366 0.183 0.183
H3 0.634 0.817 0.817
H4 0.000 0.817 0.183
Sb1 0.000 0.667 0.667
Sb2 0.000 0.333 0.333
Pd1 0.000 0.000 0.000
Sr1 0.500 0.250 0.750
Sr2 0.500 0.750 0.250
```

Summary:
Calculated total energy ... -32.4 eV per cell

| no. | total magnetization (μB per formula unit) |
| --- | --- |
| 1 | 0.00 |
| 2 | 0.00 |
| 3 | 0.00 |
| 4 | 2.16 |
| 5 | 3.75 |
| 6 | 0.00 |
| 7 | 0.00 |
| 8 | 0.01 |